First-principles (PBE) data for crystalline Ta2BiPb at its relaxed geometry, as listed in the Alexandria database.

Geometry as POSCAR:
```
Ta2BiPb
1.0
4.3083 0.0000 0.0000
0.0000 4.3083 0.0000
0.0000 0.0000 20.8516
Ta Bi Pb
8 4 4
direct
0.2326 0.2500 0.1250
0.2500 0.7326 0.3750
0.2500 0.7674 0.8750
0.2674 0.2500 0.6250
0.7326 0.7500 0.6250
0.7500 0.2326 0.8750
0.7500 0.2674 0.3750
0.7674 0.7500 0.1250
0.0000 0.0000 0.5000
0.0000 0.5000 0.7500
0.5000 0.0000 0.2500
0.5000 0.5000 0.0000
0.0000 0.0000 0.0000
0.0000 0.5000 0.2500
0.5000 0.0000 0.7500
0.5000 0.5000 0.5000
```

Properties
* relative energy among the computed polymorphs: 197.4 meV/atom
* energy relative to the elements: 0.88 eV per atom
* SG: No. 122